1.
HoTmSc2S6 | GGA-PBE | optimized geometry

Calculated values
crystal system = trigonal
density of states at the Fermi level = 0.0000 states/eV per atom
total moment = 0.000 μB per cell
electronic total energy = -6.612 eV per atom
volume = 688 Å³ per cell

```
data_HoTmSc2S6
_symmetry_space_group_name_H-M 'R 3'
_symmetry_Int_Tables_number 146
_symmetry_space_group_name_Hall 'R 3'
_cell_length_a 6.6635
_cell_length_b 6.6635
_cell_length_c 17.8976
_cell_angle_alpha 90.00
_cell_angle_beta 90.00
_cell_angle_gamma 120.00
loop_
_atom_site_label
_atom_site_type_symbol
_atom_site_fract_x
_atom_site_fract_y
_atom_site_fract_z
Ho1 Ho 0.0000 0.0000 0.0000
Tm1 Tm 0.0000 0.0000 0.4986
Sc1 Sc 0.0000 0.0000 0.3009
Sc2 Sc 0.0000 0.0000 0.8016
S1 S 0.0178 0.3729 0.5620
S2 S 0.0182 0.6410 0.0622
```


2.
HoTm2ScS6 | GGA-PBE | optimized geometry

Calculated values
crystal system = trigonal
density of states at the Fermi level = 0.0000 states/eV per atom
total moment = 0.000 μB per cell
electronic total energy = -6.471 eV per atom
volume = 715 Å³ per cell

```
data_HoTm2ScS6
_symmetry_space_group_name_H-M 'R 3'
_symmetry_Int_Tables_number 146
_symmetry_space_group_name_Hall 'R 3'
_cell_length_a 6.7411
_cell_length_b 6.7411
_cell_length_c 18.1704
_cell_angle_alpha 90.00
_cell_angle_beta 90.00
_cell_angle_gamma 120.00
loop_
_atom_site_label
_atom_site_type_symbol
_atom_site_fract_x
_atom_site_fract_y
_atom_site_fract_z
Ho1 Ho 0.0000 0.0000 0.0000
Tm1 Tm 0.0000 0.0000 0.2985
Tm2 Tm 0.0000 0.0000 0.8013
Sc1 Sc 0.0000 0.0000 0.4962
S1 S 0.9998 0.7031 0.4016
S2 S 0.0315 0.3496 0.5660
```


3.
HoSc2US4 | GGA-PBE | optimized geometry

Calculated values
crystal system = monoclinic
density of states at the Fermi level = 1.0672 states/eV per atom
total moment = 2.688 μB per cell
electronic total energy = -7.379 eV per atom
volume = 154 Å³ per cell

```
data_HoSc2US4
_symmetry_space_group_name_H-M 'P 1 2/m 1'
_symmetry_Int_Tables_number 10
_symmetry_space_group_name_Hall '-P 2y'
_cell_length_a 6.577
_cell_length_b 3.753
_cell_length_c 6.582
_cell_angle_alpha 90.00
_cell_angle_beta 109.01
_cell_angle_gamma 90.00
loop_
_atom_site_label
_atom_site_type_symbol
_atom_site_fract_x
_atom_site_fract_y
_atom_site_fract_z
Ho1 Ho 0.000 0.000 0.000
Sc1 Sc 0.000 0.500 0.500
Sc2 Sc 0.500 0.000 0.500
U1 U 0.500 0.500 0.000
S1 S 0.243 0.000 0.734
S2 S 0.254 0.500 0.265
```


4.
HoScU2S4 | GGA-PBE | optimized geometry

Calculated values
crystal system = monoclinic
density of states at the Fermi level = 1.6944 states/eV per atom
total moment = 0.270 μB per cell
electronic total energy = -7.853 eV per atom
volume = 159 Å³ per cell

```
data_HoScU2S4
_symmetry_space_group_name_H-M 'P 1 2/m 1'
_symmetry_Int_Tables_number 10
_symmetry_space_group_name_Hall '-P 2y'
_cell_length_a 6.629
_cell_length_b 3.770
_cell_length_c 6.728
_cell_angle_alpha 90.00
_cell_angle_beta 108.61
_cell_angle_gamma 90.00
loop_
_atom_site_label
_atom_site_type_symbol
_atom_site_fract_x
_atom_site_fract_y
_atom_site_fract_z
Ho1 Ho 0.000 0.000 0.000
Sc1 Sc 0.500 0.500 0.000
U1 U 0.000 0.500 0.500
U2 U 0.500 0.000 0.500
S1 S 0.254 0.500 0.242
S2 S 0.261 0.000 0.763
```


5.
YHoSc2S6 | GGA-PBE | optimized geometry

Calculated values
crystal system = trigonal
density of states at the Fermi level = 0.0000 states/eV per atom
total moment = 0.000 μB per cell
electronic total energy = -6.811 eV per atom
volume = 695 Å³ per cell

```
data_YHoSc2S6
_symmetry_space_group_name_H-M 'R 3'
_symmetry_Int_Tables_number 146
_symmetry_space_group_name_Hall 'R 3'
_cell_length_a 6.6959
_cell_length_b 6.6959
_cell_length_c 17.9040
_cell_angle_alpha 90.00
_cell_angle_beta 90.00
_cell_angle_gamma 120.00
loop_
_atom_site_label
_atom_site_type_symbol
_atom_site_fract_x
_atom_site_fract_y
_atom_site_fract_z
Y1 Y 0.0000 0.0000 0.0000
Ho1 Ho 0.0000 0.0000 0.4993
Sc1 Sc 0.0000 0.0000 0.3002
Sc2 Sc 0.0000 0.0000 0.8006
S1 S 0.0172 0.3796 0.0609
S2 S 0.0166 0.6399 0.5607
```


6.
YHoSc2S4 | GGA-PBE | optimized geometry

Calculated values
crystal system = monoclinic
density of states at the Fermi level = 0.6264 states/eV per atom
total moment = 0.000 μB per cell
electronic total energy = -6.944 eV per atom
volume = 155 Å³ per cell

```
data_YHoSc2S4
_symmetry_space_group_name_H-M 'P 1 2/m 1'
_symmetry_Int_Tables_number 10
_symmetry_space_group_name_Hall '-P 2y'
_cell_length_a 6.593
_cell_length_b 3.776
_cell_length_c 6.595
_cell_angle_alpha 90.00
_cell_angle_beta 109.21
_cell_angle_gamma 90.00
loop_
_atom_site_label
_atom_site_type_symbol
_atom_site_fract_x
_atom_site_fract_y
_atom_site_fract_z
Y1 Y 0.000 0.000 0.000
Ho1 Ho 0.000 0.500 0.500
Sc1 Sc 0.500 0.000 0.500
Sc2 Sc 0.500 0.500 0.000
S1 S 0.265 0.000 0.754
S2 S 0.266 0.500 0.257
```


7.
Y3Ho3ScS8 | GGA-PBE | optimized geometry

Calculated values
crystal system = trigonal
density of states at the Fermi level = 0.4579 states/eV per atom
total moment = 0.000 μB per cell
electronic total energy = -6.867 eV per atom
volume = 989 Å³ per cell

```
data_Y3Ho3ScS8
_symmetry_space_group_name_H-M 'R -3 m'
_symmetry_Int_Tables_number 166
_symmetry_space_group_name_Hall '-R 3 2"'
_cell_length_a 7.7482
_cell_length_b 7.7482
_cell_length_c 19.0157
_cell_angle_alpha 90.00
_cell_angle_beta 90.00
_cell_angle_gamma 120.00
loop_
_atom_site_label
_atom_site_type_symbol
_atom_site_fract_x
_atom_site_fract_y
_atom_site_fract_z
Y1 Y 0.0000 0.5000 0.0000
Ho1 Ho 0.0000 0.5000 0.5000
Sc1 Sc 0.0000 0.0000 0.5000
S1 S 0.0000 0.0000 0.2491
S2 S 0.0076 0.5038 0.2471
```


8.
Y2HoSc3S6 | GGA-PBE | optimized geometry

Calculated values
crystal system = monoclinic
density of states at the Fermi level = 0.4830 states/eV per atom
total moment = 0.000 μB per cell
electronic total energy = -7.026 eV per atom
volume = 466 Å³ per cell

```
data_Y2HoSc3S6
_symmetry_space_group_name_H-M 'C 1 2/m 1'
_symmetry_Int_Tables_number 12
_symmetry_space_group_name_Hall '-C 2y'
_cell_length_a 16.552
_cell_length_b 3.794
_cell_length_c 7.626
_cell_angle_alpha 90.00
_cell_angle_beta 103.35
_cell_angle_gamma 90.00
loop_
_atom_site_label
_atom_site_type_symbol
_atom_site_fract_x
_atom_site_fract_y
_atom_site_fract_z
Y1 Y 0.167 0.000 0.334
Ho1 Ho 0.000 0.500 0.000
Sc1 Sc 0.000 0.500 0.500
Sc2 Sc 0.167 0.000 0.833
S1 S 0.004 0.000 0.743
S2 S 0.163 0.500 0.593
S3 S 0.170 0.500 0.073
```


9.
Y4HoScS8 | GGA-PBE | optimized geometry

Calculated values
crystal system = trigonal
density of states at the Fermi level = 0.4637 states/eV per atom
total moment = 2.327 μB per cell
electronic total energy = -6.913 eV per atom
volume = 1078 Å³ per cell

```
data_Y4HoScS8
_symmetry_space_group_name_H-M 'R 3 m'
_symmetry_Int_Tables_number 160
_symmetry_space_group_name_Hall 'R 3 -2"'
_cell_length_a 7.9827
_cell_length_b 7.9827
_cell_length_c 19.5399
_cell_angle_alpha 90.00
_cell_angle_beta 90.00
_cell_angle_gamma 120.00
loop_
_atom_site_label
_atom_site_type_symbol
_atom_site_fract_x
_atom_site_fract_y
_atom_site_fract_z
Y1 Y 0.0000 0.0000 0.0000
Y2 Y 0.1710 0.3420 0.2074
Ho1 Ho 0.0000 0.0000 0.3781
Sc1 Sc 0.0000 0.0000 0.7502
S1 S 0.0000 0.0000 0.1337
S2 S 0.0000 0.0000 0.6231
S3 S 0.0075 0.5038 0.1252
S4 S 0.1788 0.3575 0.9561
```


10.
YHo3Sc2S6 | GGA-PBE | optimized geometry

Calculated values
crystal system = monoclinic
density of states at the Fermi level = 0.4490 states/eV per atom
total moment = 0.000 μB per cell
electronic total energy = -6.736 eV per atom
volume = 476 Å³ per cell

```
data_YHo3Sc2S6
_symmetry_space_group_name_H-M 'C 1 2/m 1'
_symmetry_Int_Tables_number 12
_symmetry_space_group_name_Hall '-C 2y'
_cell_length_a 6.620
_cell_length_b 11.503
_cell_length_c 6.633
_cell_angle_alpha 90.00
_cell_angle_beta 109.47
_cell_angle_gamma 90.00
loop_
_atom_site_label
_atom_site_type_symbol
_atom_site_fract_x
_atom_site_fract_y
_atom_site_fract_z
Y1 Y 0.000 0.000 0.000
Ho1 Ho 0.000 0.163 0.500
Ho2 Ho 0.000 0.500 0.500
Sc1 Sc 0.000 0.334 0.000
S1 S 0.237 0.500 0.239
S2 S 0.248 0.328 0.757
```


Ordered E_form (uncorrected) results: -1.964, -2.009, -1.749, -1.603, -1.965, -1.917, -2.035, -1.920, -1.928, -1.934; unit eV/atom.